Entry 1:
Entry from Alexandria: a crystal of LiBi3O6 relaxed with PBEsol (meta-GGA SCAN).

Computed properties:
Uncorrected formation energy ... -1.0859 eV per atom
DOS at the Fermi energy ... 7.22 states/eV per cell
Crystal system ... cubic

```
LiBi3O6
1.0
-5.335 5.335 5.335
5.335 -5.335 5.335
5.335 5.335 -5.335
Li Bi O
4 12 24
Direct
0.000 0.531 0.500
0.500 0.000 0.531
0.531 0.500 0.000
0.969 0.969 0.969
0.037 0.787 0.250
0.213 0.750 0.963
0.250 0.037 0.787
0.250 0.537 0.287
0.287 0.250 0.537
0.463 0.713 0.750
0.537 0.287 0.250
0.713 0.750 0.463
0.750 0.463 0.713
0.750 0.963 0.213
0.787 0.250 0.037
0.963 0.213 0.750
0.005 0.538 0.281
0.027 0.469 0.767
0.031 0.058 0.298
0.058 0.298 0.031
0.202 0.260 0.733
0.219 0.756 0.723
0.240 0.442 0.473
0.260 0.733 0.202
0.281 0.005 0.538
0.298 0.031 0.058
0.442 0.473 0.240
0.469 0.767 0.027
0.473 0.240 0.442
0.495 0.777 0.533
0.533 0.495 0.777
0.538 0.281 0.005
0.723 0.219 0.756
0.733 0.202 0.260
0.744 0.962 0.967
0.756 0.723 0.219
0.767 0.027 0.469
0.777 0.533 0.495
0.962 0.967 0.744
0.967 0.744 0.962
```



Entry 2:
Entry from Alexandria: a crystal of LiBiO3 relaxed with PBEsol (meta-GGA SCAN).

Computed properties:
Uncorrected formation energy ... -1.2448 eV per atom
Crystal system ... orthorhombic

```
LiBiO3
1.0
4.955 0.000 0.000
0.000 8.891 0.000
0.000 0.000 10.806
Li Bi O
8 8 24
Direct
0.000 0.214 0.097
0.000 0.286 0.597
0.000 0.714 0.403
0.000 0.786 0.903
0.500 0.214 0.597
0.500 0.286 0.097
0.500 0.714 0.903
0.500 0.786 0.403
0.004 0.086 0.363
0.004 0.414 0.863
0.496 0.086 0.863
0.496 0.414 0.363
0.504 0.586 0.637
0.504 0.914 0.137
0.996 0.586 0.137
0.996 0.914 0.637
0.194 0.095 0.542
0.194 0.405 0.042
0.226 0.586 0.301
0.226 0.914 0.801
0.250 0.250 0.276
0.250 0.250 0.776
0.250 0.750 0.049
0.250 0.750 0.549
0.274 0.586 0.801
0.274 0.914 0.301
0.306 0.095 0.042
0.306 0.405 0.542
0.694 0.595 0.458
0.694 0.905 0.958
0.726 0.086 0.699
0.726 0.414 0.199
0.750 0.250 0.451
0.750 0.250 0.951
0.750 0.750 0.224
0.750 0.750 0.724
0.774 0.086 0.199
0.774 0.414 0.699
0.806 0.595 0.958
0.806 0.905 0.458
```



Entry 3:
Entry from Alexandria: a crystal of LiBi4O7 relaxed with PBEsol (meta-GGA SCAN).

Computed properties:
Uncorrected formation energy ... -1.1428 eV per atom
DOS at the Fermi energy ... 0.79 states/eV per cell
Crystal system ... triclinic

```
LiBi4O7
1.0
6.857 0.000 0.000
0.508 7.316 0.000
2.653 2.869 6.951
Li Bi O
2 8 14
Direct
0.000 0.000 0.000
0.000 0.000 0.500
0.198 0.626 0.267
0.212 0.648 0.782
0.324 0.174 0.613
0.369 0.131 0.149
0.631 0.869 0.851
0.676 0.826 0.387
0.788 0.352 0.218
0.802 0.374 0.733
0.028 0.896 0.280
0.133 0.372 0.050
0.182 0.511 0.574
0.266 0.862 0.902
0.290 0.938 0.504
0.446 0.361 0.276
0.486 0.811 0.168
0.514 0.189 0.832
0.554 0.639 0.724
0.710 0.062 0.496
0.734 0.138 0.098
0.818 0.489 0.426
0.867 0.628 0.950
0.972 0.104 0.720
```



Entry 4:
Entry from Alexandria: a crystal of Li2BiO3 relaxed with PBEsol (meta-GGA SCAN).

Computed properties:
Uncorrected formation energy ... -1.5124 eV per atom
E above lowest polymorph ... 0.025 eV/atom
DOS at the Fermi energy ... 0.00 states/eV per cell
Crystal system ... monoclinic

```
Li2BiO3
1.0
2.841 -4.839 0.000
2.841 4.839 0.000
-1.497 0.000 10.092
Li Bi O
8 4 12
Direct
0.000 0.500 0.500
0.092 0.908 0.750
0.106 0.296 0.004
0.296 0.106 0.504
0.500 0.000 0.000
0.704 0.894 0.496
0.894 0.704 0.996
0.908 0.092 0.250
0.243 0.757 0.250
0.425 0.575 0.750
0.575 0.425 0.250
0.757 0.243 0.750
0.026 0.196 0.625
0.092 0.589 0.871
0.196 0.026 0.125
0.259 0.474 0.373
0.411 0.908 0.629
0.474 0.259 0.873
0.526 0.741 0.127
0.589 0.092 0.371
0.741 0.526 0.627
0.804 0.974 0.875
0.908 0.411 0.129
0.974 0.804 0.375
```



Entry 5:
Entry from Alexandria: a crystal of Li2BiO3 relaxed with PBEsol (meta-GGA SCAN).

Computed properties:
Uncorrected formation energy ... -1.4783 eV per atom
E above lowest polymorph ... 0.059 eV/atom
DOS at the Fermi energy ... 3.64 states/eV per cell
Crystal system ... orthorhombic

```
Li2BiO3
1.0
5.709 0.000 0.000
0.000 5.704 0.000
0.000 0.000 9.356
Li Bi O
8 4 12
Direct
0.000 0.000 0.000
0.000 0.500 0.500
0.246 0.250 0.250
0.254 0.750 0.250
0.500 0.000 0.000
0.500 0.500 0.500
0.746 0.250 0.750
0.754 0.750 0.750
0.250 0.000 0.600
0.250 0.500 0.900
0.750 0.000 0.400
0.750 0.500 0.100
0.086 0.713 0.076
0.086 0.787 0.424
0.090 0.750 0.750
0.410 0.250 0.750
0.414 0.213 0.424
0.414 0.287 0.076
0.586 0.713 0.924
0.586 0.787 0.576
0.590 0.750 0.250
0.910 0.250 0.250
0.914 0.213 0.576
0.914 0.287 0.924
```



Entry 6:
Entry from Alexandria: a crystal of Li5BiO5 relaxed with PBEsol (meta-GGA SCAN).

Computed properties:
Uncorrected formation energy ... -1.7445 eV per atom
DOS at the Fermi energy ... 0.00 states/eV per cell
Crystal system ... monoclinic

```
Li5BiO5
1.0
4.913 -2.112 0.000
4.913 2.112 0.000
-1.986 0.000 5.612
Li Bi O
5 1 5
Direct
0.000 0.000 0.000
0.291 0.291 0.158
0.312 0.312 0.640
0.688 0.688 0.360
0.709 0.709 0.842
0.000 0.000 0.500
0.150 0.150 0.320
0.166 0.166 0.829
0.500 0.500 0.500
0.834 0.834 0.171
0.850 0.850 0.680
```